# 1
# TiAg | the Alexandria database | PBE | optimized geometry
# Energy: -4.385 eV per atom
# Energy relative to the elements: 0.99 eV per atom
data_TiAg
_cell_length_a 4.552
_cell_length_b 4.552
_cell_length_c 5.398
_cell_angle_alpha 90.00
_cell_angle_beta 90.00
_cell_angle_gamma 120.00
_space_group_name_H-M_alt 'P 1'
_space_group_IT_number 1
loop_
_space_group_symop_operation_xyz
'x,y,z'
loop_
_atom_site_label
_atom_site_fract_x
_atom_site_fract_y
_atom_site_fract_z
Ti1 0.667 0.333 0.750
Ti2 0.333 0.667 0.250
Ag1 0.667 0.333 0.250
Ag2 0.333 0.667 0.750

=====

# 2
# Ti3Ag | the Alexandria database | PBE | optimized geometry
# Energy: -6.623 eV per atom
# Energy relative to the elements: 0.01 eV per atom
data_Ti3Ag
_cell_length_a 2.901
_cell_length_b 2.901
_cell_length_c 16.487
_cell_angle_alpha 90.00
_cell_angle_beta 90.00
_cell_angle_gamma 90.00
_space_group_name_H-M_alt 'P 1'
_space_group_IT_number 1
loop_
_space_group_symop_operation_xyz
'x,y,z'
loop_
_atom_site_label
_atom_site_fract_x
_atom_site_fract_y
_atom_site_fract_z
Ti1 0.500 0.000 0.938
Ti2 0.000 0.500 0.813
Ti3 0.500 0.000 0.693
Ti4 0.000 0.500 0.062
Ti5 0.500 0.000 0.187
Ti6 0.000 0.500 0.307
Ag1 0.500 0.000 0.435
Ag2 0.000 0.500 0.565

=====

# 3
# Ti3Ag | the Alexandria database | PBE | optimized geometry
# Energy: -6.529 eV per atom
# Energy relative to the elements: 0.11 eV per atom
data_Ti3Ag
_cell_length_a 4.091
_cell_length_b 4.091
_cell_length_c 4.091
_cell_angle_alpha 90.00
_cell_angle_beta 90.00
_cell_angle_gamma 90.00
_space_group_name_H-M_alt 'P 1'
_space_group_IT_number 1
loop_
_space_group_symop_operation_xyz
'x,y,z'
loop_
_atom_site_label
_atom_site_fract_x
_atom_site_fract_y
_atom_site_fract_z
Ti1 0.000 0.500 0.500
Ti2 0.500 0.000 0.500
Ti3 0.500 0.500 0.000
Ag1 0.000 0.000 0.000

=====

# 4
# TiAg | the Alexandria database | PBE | optimized geometry
# Energy: -4.269 eV per atom
# Energy relative to the elements: 1.10 eV per atom
data_TiAg
_cell_length_a 8.329
_cell_length_b 8.329
_cell_length_c 8.329
_cell_angle_alpha 90.00
_cell_angle_beta 90.00
_cell_angle_gamma 90.00
_space_group_name_H-M_alt 'P 1'
_space_group_IT_number 1
loop_
_space_group_symop_operation_xyz
'x,y,z'
loop_
_atom_site_label
_atom_site_fract_x
_atom_site_fract_y
_atom_site_fract_z
Ti1 0.113 0.113 0.113
Ti2 0.613 0.387 0.387
Ti3 0.887 0.113 0.887
Ti4 0.113 0.887 0.887
Ti5 0.887 0.887 0.113
Ti6 0.613 0.613 0.613
Ti7 0.387 0.613 0.387
Ti8 0.387 0.387 0.613
Ag1 0.697 0.697 0.303
Ag2 0.303 0.303 0.303
Ag3 0.197 0.197 0.803
Ag4 0.803 0.197 0.197
Ag5 0.197 0.803 0.197
Ag6 0.697 0.303 0.697
Ag7 0.803 0.803 0.803
Ag8 0.303 0.697 0.697

=====

- Which formula does entry 3 have?
  Ti3Ag